# GGA-PBEsol CdNiRh2, optimized geometry
data_CdNiRh2
_symmetry_space_group_name_H-M 'P 1'
_symmetry_Int_Tables_number 1
_cell_length_a 3.834
_cell_length_b 3.834
_cell_length_c 4.696
_cell_angle_alpha 114.10
_cell_angle_beta 114.10
_cell_angle_gamma 90.00
loop_
_symmetry_equiv_pos_as_xyz
'x,y,z'
loop_
_atom_site_label
_atom_site_type_symbol
_atom_site_fract_x
_atom_site_fract_y
_atom_site_fract_z
Cd1 Cd 0.500 0.500 0.000
Ni1 Ni 0.000 0.000 0.000
Rh1 Rh 0.750 0.250 0.500
Rh2 Rh 0.250 0.750 0.500
# formation energy: 0.15 eV/atom
# mass density: 11.10 g/cm³
# crystal system: tetragonal
# DOS at the Fermi energy: 5.20 states/eV per cell

# GGA-PBEsol CdNi2Rh, optimized geometry
data_CdNi2Rh
_symmetry_space_group_name_H-M 'P 1'
_symmetry_Int_Tables_number 1
_cell_length_a 2.721
_cell_length_b 4.474
_cell_length_c 4.727
_cell_angle_alpha 99.93
_cell_angle_beta 90.00
_cell_angle_gamma 107.70
loop_
_symmetry_equiv_pos_as_xyz
'x,y,z'
loop_
_atom_site_label
_atom_site_type_symbol
_atom_site_fract_x
_atom_site_fract_y
_atom_site_fract_z
Cd1 Cd 0.000 0.000 0.500
Ni1 Ni 0.756 0.512 0.783
Ni2 Ni 0.244 0.488 0.217
Rh1 Rh 0.500 0.000 0.000
# formation energy: 0.14 eV/atom
# mass density: 10.25 g/cm³
# crystal system: monoclinic
# DOS at the Fermi energy: 5.81 states/eV per cell

# GGA-PBEsol CdNi2Rh, optimized geometry
data_CdNi2Rh
_symmetry_space_group_name_H-M 'P 1'
_symmetry_Int_Tables_number 1
_cell_length_a 2.787
_cell_length_b 2.787
_cell_length_c 6.830
_cell_angle_alpha 90.00
_cell_angle_beta 90.00
_cell_angle_gamma 90.00
loop_
_symmetry_equiv_pos_as_xyz
'x,y,z'
loop_
_atom_site_label
_atom_site_type_symbol
_atom_site_fract_x
_atom_site_fract_y
_atom_site_fract_z
Cd1 Cd 0.500 0.500 0.763
Ni1 Ni 0.000 0.000 0.036
Ni2 Ni 0.500 0.500 0.238
Rh1 Rh 0.000 0.000 0.464
# formation energy: 0.08 eV/atom
# mass density: 10.41 g/cm³
# crystal system: tetragonal
# DOS at the Fermi energy: 4.94 states/eV per cell

# GGA-PBEsol CdNi2Ru, optimized geometry
data_CdNi2Ru
_symmetry_space_group_name_H-M 'P 1'
_symmetry_Int_Tables_number 1
_cell_length_a 2.671
_cell_length_b 4.400
_cell_length_c 5.168
_cell_angle_alpha 115.19
_cell_angle_beta 104.97
_cell_angle_gamma 90.00
loop_
_symmetry_equiv_pos_as_xyz
'x,y,z'
loop_
_atom_site_label
_atom_site_type_symbol
_atom_site_fract_x
_atom_site_fract_y
_atom_site_fract_z
Cd1 Cd 0.258 0.758 0.517
Ni1 Ni 0.020 0.020 0.039
Ni2 Ni 0.744 0.244 0.488
Ru1 Ru 0.478 0.478 0.956
# formation energy: 0.27 eV/atom
# mass density: 10.43 g/cm³
# crystal system: orthorhombic
# DOS at the Fermi energy: 6.56 states/eV per cell

# GGA-PBEsol Cd2NiRu, optimized geometry
data_Cd2NiRu
_symmetry_space_group_name_H-M 'P 1'
_symmetry_Int_Tables_number 1
_cell_length_a 4.434
_cell_length_b 4.434
_cell_length_c 4.434
_cell_angle_alpha 60.00
_cell_angle_beta 60.00
_cell_angle_gamma 60.00
loop_
_symmetry_equiv_pos_as_xyz
'x,y,z'
loop_
_atom_site_label
_atom_site_type_symbol
_atom_site_fract_x
_atom_site_fract_y
_atom_site_fract_z
Cd1 Cd 0.000 0.000 0.000
Cd2 Cd 0.750 0.750 0.750
Ni1 Ni 0.500 0.500 0.500
Ru1 Ru 0.250 0.250 0.250
# formation energy: 0.39 eV/atom
# mass density: 10.36 g/cm³
# crystal system: cubic
# DOS at the Fermi energy: 6.39 states/eV per cell

# GGA-PBEsol Cd2NiRu, optimized geometry
data_Cd2NiRu
_symmetry_space_group_name_H-M 'P 1'
_symmetry_Int_Tables_number 1
_cell_length_a 2.804
_cell_length_b 2.804
_cell_length_c 9.294
_cell_angle_alpha 81.32
_cell_angle_beta 81.32
_cell_angle_gamma 60.00
loop_
_symmetry_equiv_pos_as_xyz
'x,y,z'
loop_
_atom_site_label
_atom_site_type_symbol
_atom_site_fract_x
_atom_site_fract_y
_atom_site_fract_z
Cd1 Cd 0.994 0.994 0.019
Cd2 Cd 0.760 0.760 0.721
Ni1 Ni 0.506 0.506 0.482
Ru1 Ru 0.241 0.241 0.278
# formation energy: 0.26 eV/atom
# mass density: 10.25 g/cm³
# crystal system: trigonal
# DOS at the Fermi energy: 2.85 states/eV per cell

# GGA-PBEsol CdNiSb2, optimized geometry
data_CdNiSb2
_symmetry_space_group_name_H-M 'P 1'
_symmetry_Int_Tables_number 1
_cell_length_a 3.232
_cell_length_b 4.134
_cell_length_c 6.877
_cell_angle_alpha 107.49
_cell_angle_beta 103.59
_cell_angle_gamma 90.00
loop_
_symmetry_equiv_pos_as_xyz
'x,y,z'
loop_
_atom_site_label
_atom_site_type_symbol
_atom_site_fract_x
_atom_site_fract_y
_atom_site_fract_z
Cd1 Cd 0.433 0.433 0.867
Ni1 Ni 0.732 0.232 0.463
Sb1 Sb 0.070 0.070 0.141
Sb2 Sb 0.265 0.765 0.529
# raw formation energy: 0.05 eV per atom
# mass density: 8.11 g/cm³
# crystal system: orthorhombic
# DOS at the Fermi energy: 2.04 states/eV per cell

# GGA-PBEsol CdNiSb2, optimized geometry
data_CdNiSb2
_symmetry_space_group_name_H-M 'P 1'
_symmetry_Int_Tables_number 1
_cell_length_a 3.264
_cell_length_b 3.264
_cell_length_c 9.396
_cell_angle_alpha 80.00
_cell_angle_beta 80.00
_cell_angle_gamma 60.00
loop_
_symmetry_equiv_pos_as_xyz
'x,y,z'
loop_
_atom_site_label
_atom_site_type_symbol
_atom_site_fract_x
_atom_site_fract_y
_atom_site_fract_z
Cd1 Cd 0.516 0.516 0.453
Ni1 Ni 0.252 0.252 0.245
Sb1 Sb 0.978 0.978 0.065
Sb2 Sb 0.754 0.754 0.737
# raw formation energy: 0.12 eV per atom
# mass density: 8.11 g/cm³
# crystal system: trigonal
# DOS at the Fermi energy: 2.13 states/eV per cell

# GGA-PBEsol Cd2NiSb, optimized geometry
data_Cd2NiSb
_symmetry_space_group_name_H-M 'P 1'
_symmetry_Int_Tables_number 1
_cell_length_a 4.074
_cell_length_b 4.074
_cell_length_c 5.342
_cell_angle_alpha 112.41
_cell_angle_beta 112.41
_cell_angle_gamma 90.00
loop_
_symmetry_equiv_pos_as_xyz
'x,y,z'
loop_
_atom_site_label
_atom_site_type_symbol
_atom_site_fract_x
_atom_site_fract_y
_atom_site_fract_z
Cd1 Cd 0.750 0.250 0.500
Cd2 Cd 0.250 0.750 0.500
Ni1 Ni 0.500 0.500 0.000
Sb1 Sb 0.000 0.000 0.000
# raw formation energy: 0.17 eV per atom
# mass density: 9.01 g/cm³
# crystal system: tetragonal
# DOS at the Fermi energy: 1.86 states/eV per cell

# GGA-PBEsol CdNiSb2, optimized geometry
data_CdNiSb2
_symmetry_space_group_name_H-M 'P 1'
_symmetry_Int_Tables_number 1
_cell_length_a 3.836
_cell_length_b 3.836
_cell_length_c 7.205
_cell_angle_alpha 74.56
_cell_angle_beta 74.56
_cell_angle_gamma 60.00
loop_
_symmetry_equiv_pos_as_xyz
'x,y,z'
loop_
_atom_site_label
_atom_site_type_symbol
_atom_site_fract_x
_atom_site_fract_y
_atom_site_fract_z
Sb1 Sb 0.272 0.272 0.184
Sb2 Sb 0.728 0.728 0.816
Cd1 Cd 0.500 0.500 0.500
Ni1 Ni 0.000 0.000 0.000
# raw formation energy: -0.07 eV per atom
# mass density: 7.88 g/cm³
# crystal system: trigonal
# DOS at the Fermi energy: 1.73 states/eV per cell

no.,total magnetic moment (μB/f.u.)
1,1.6
2,1.0
3,1.5
4,0.5
5,1.0
6,0.0
7,0.0
8,0.0
9,0.0
10,0.0